Mg3ZnHg | PBE-GGA | relaxed

- energy relative to the elements (eV per atom) = -0.078
- electronic total energy (eV per cell) = -27.0
- total magnetic moment (Bohr magnetons per cell) = 0.00

Structure (CIF):
```
data_Mg3ZnHg
_chemical_formula_sum 'Mg12 Zn4 Hg4'
_symmetry_space_group_name_H-M 'C 1 2/m 1'
_symmetry_Int_Tables_number 12
_cell_length_a 8.815
_cell_length_b 6.133
_cell_length_c 9.086
_cell_angle_alpha 90.00
_cell_angle_beta 119.00
_cell_angle_gamma 90.00
loop_
_symmetry_equiv_pos_as_xyz
'x,y,z'
'-x,-y,-z'
'-x,y,-z'
'x,-y,z'
'x+1/2,y+1/2,z'
'-x+1/2,-y+1/2,-z'
'-x+1/2,y+1/2,-z'
'x+1/2,-y+1/2,z'
loop_
_atom_site_label
_atom_site_type_symbol
_atom_site_fract_x
_atom_site_fract_y
_atom_site_fract_z
Mg1 Mg 0.085 0.000 0.307
Mg2 Mg 0.172 0.500 0.844
Mg3 Mg 0.222 0.500 0.308
Zn1 Zn 0.000 0.296 0.500
Hg1 Hg 0.000 0.250 0.000
```



LiTiPd2 | PBE-GGA | relaxed

- energy relative to the elements (eV per atom) = -0.527
- electronic total energy (eV per cell) = -89.2
- total magnetic moment (Bohr magnetons per cell) = 0.00

Structure (CIF):
```
data_LiTiPd2
_chemical_formula_sum 'Li4 Ti4 Pd8'
_symmetry_space_group_name_H-M 'F m -3 m'
_symmetry_Int_Tables_number 225
_symmetry_space_group_name_Hall '-F 4 2 3'
_cell_length_a 6.169
_cell_length_b 6.169
_cell_length_c 6.169
_cell_angle_alpha 90.00
_cell_angle_beta 90.00
_cell_angle_gamma 90.00
loop_
_atom_site_label
_atom_site_type_symbol
_atom_site_fract_x
_atom_site_fract_y
_atom_site_fract_z
Li1 Li 0.000 0.000 0.000
Ti1 Ti 0.000 0.000 0.500
Pd1 Pd 0.250 0.250 0.250
```